one:
# RbCoB, optimized geometry, DFT GGA-PBE
data_RbCoB
_space_group_name_H-M_alt 'F -4 3 m'
_space_group_IT_number 216
_space_group_name_Hall 'F -4 2 3'
_cell_length_a 6.124
_cell_length_b 6.124
_cell_length_c 6.124
_cell_angle_alpha 90.00
_cell_angle_beta 90.00
_cell_angle_gamma 90.00
loop_
_atom_site_label
_atom_site_fract_x
_atom_site_fract_y
_atom_site_fract_z
_atom_site_occupancy
Rb1 0.000 0.000 0.000 1
Co1 0.250 0.250 0.750 1
B1 0.000 0.000 0.500 1
# * V: 57.43 Å³/f.u.
# * M_tot: 3.1 μB/cell
# * theoretical density: 4.5 g cm⁻³

two:
# RbCoB, optimized geometry, DFT GGA-PBE
data_RbCoB
_space_group_name_H-M_alt 'F -4 3 m'
_space_group_IT_number 216
_space_group_name_Hall 'F -4 2 3'
_cell_length_a 7.459
_cell_length_b 7.459
_cell_length_c 7.459
_cell_angle_alpha 90.00
_cell_angle_beta 90.00
_cell_angle_gamma 90.00
loop_
_atom_site_label
_atom_site_fract_x
_atom_site_fract_y
_atom_site_fract_z
_atom_site_occupancy
Rb1 0.000 0.000 0.000 1
Co1 0.250 0.250 0.250 1
B1 0.250 0.250 0.750 1
# * V: 103.75 Å³/f.u.
# * M_tot: 4.7 μB/cell
# * theoretical density: 2.5 g cm⁻³

three:
# RbCoB, optimized geometry, DFT GGA-PBE
data_RbCoB
_space_group_name_H-M_alt 'F -4 3 m'
_space_group_IT_number 216
_space_group_name_Hall 'F -4 2 3'
_cell_length_a 6.487
_cell_length_b 6.487
_cell_length_c 6.487
_cell_angle_alpha 90.00
_cell_angle_beta 90.00
_cell_angle_gamma 90.00
loop_
_atom_site_label
_atom_site_fract_x
_atom_site_fract_y
_atom_site_fract_z
_atom_site_occupancy
Rb1 0.000 0.000 0.000 1
Co1 0.000 0.000 0.500 1
B1 0.250 0.250 0.250 1
# * V: 68.26 Å³/f.u.
# * M_tot: 3.9 μB/cell
# * theoretical density: 3.8 g cm⁻³

Which of them is most stable? Easy: one.

one:
# RbCoB4, optimized geometry, DFT GGA-PBE
data_RbCoB4
_space_group_name_H-M_alt 'P 6/m m m'
_space_group_IT_number 191
_space_group_name_Hall '-P 6 2'
_cell_length_a 3.0548
_cell_length_b 3.0548
_cell_length_c 8.0548
_cell_angle_alpha 90.00
_cell_angle_beta 90.00
_cell_angle_gamma 120.00
loop_
_atom_site_label
_atom_site_fract_x
_atom_site_fract_y
_atom_site_fract_z
_atom_site_occupancy
Rb1 0.0000 0.0000 0.0000 1
Co1 0.0000 0.0000 0.5000 1
B1 0.3333 0.6667 0.3303 1
# * V: 65.10 Å³/f.u.
# * M_tot: 0.0 μB/cell
# * theoretical density: 4.8 g cm⁻³

two:
# RbCoB4, optimized geometry, DFT GGA-PBE
data_RbCoB4
_space_group_name_H-M_alt 'I m m m'
_space_group_IT_number 71
_space_group_name_Hall '-I 2 2'
_cell_length_a 2.576
_cell_length_b 5.831
_cell_length_c 8.835
_cell_angle_alpha 90.00
_cell_angle_beta 90.00
_cell_angle_gamma 90.00
loop_
_atom_site_label
_atom_site_fract_x
_atom_site_fract_y
_atom_site_fract_z
_atom_site_occupancy
Rb1 0.000 0.000 0.000 1
Co1 0.000 0.000 0.500 1
B1 0.000 0.357 0.221 1
# * V: 66.37 Å³/f.u.
# * M_tot: 2.0 μB/cell
# * theoretical density: 4.7 g cm⁻³

Which of them is most stable? Easy: one.

one:
# ScCoReB, optimized geometry, DFT GGA-PBE
data_ScCoReB
_space_group_name_H-M_alt 'F -4 3 m'
_space_group_IT_number 216
_space_group_name_Hall 'F -4 2 3'
_cell_length_a 5.843
_cell_length_b 5.843
_cell_length_c 5.843
_cell_angle_alpha 90.00
_cell_angle_beta 90.00
_cell_angle_gamma 90.00
loop_
_atom_site_label
_atom_site_fract_x
_atom_site_fract_y
_atom_site_fract_z
_atom_site_occupancy
Sc1 0.000 0.000 0.000 1
Co1 0.250 0.250 0.750 1
Re1 0.250 0.250 0.250 1
B1 0.000 0.000 0.500 1
# * V: 49.88 Å³/f.u.
# * M_tot: 0.1 μB/cell
# * theoretical density: 10.0 g cm⁻³

two:
# ScCoReB, optimized geometry, DFT GGA-PBE
data_ScCoReB
_space_group_name_H-M_alt 'F -4 3 m'
_space_group_IT_number 216
_space_group_name_Hall 'F -4 2 3'
_cell_length_a 5.965
_cell_length_b 5.965
_cell_length_c 5.965
_cell_angle_alpha 90.00
_cell_angle_beta 90.00
_cell_angle_gamma 90.00
loop_
_atom_site_label
_atom_site_fract_x
_atom_site_fract_y
_atom_site_fract_z
_atom_site_occupancy
Sc1 0.000 0.000 0.000 1
Co1 0.000 0.000 0.500 1
Re1 0.250 0.250 0.750 1
B1 0.250 0.250 0.250 1
# * V: 53.07 Å³/f.u.
# * M_tot: 10.8 μB/cell
# * theoretical density: 9.4 g cm⁻³

Which of them is most stable? Easy: one.

one:
# ZnCoReB, optimized geometry, DFT GGA-PBE
data_ZnCoReB
_space_group_name_H-M_alt 'F -4 3 m'
_space_group_IT_number 216
_space_group_name_Hall 'F -4 2 3'
_cell_length_a 5.729
_cell_length_b 5.729
_cell_length_c 5.729
_cell_angle_alpha 90.00
_cell_angle_beta 90.00
_cell_angle_gamma 90.00
loop_
_atom_site_label
_atom_site_fract_x
_atom_site_fract_y
_atom_site_fract_z
_atom_site_occupancy
Zn1 0.000 0.000 0.000 1
Co1 0.000 0.000 0.500 1
Re1 0.250 0.250 0.750 1
B1 0.250 0.250 0.250 1
# * V: 47.00 Å³/f.u.
# * M_tot: 8.2 μB/cell
# * theoretical density: 11.4 g cm⁻³

two:
# ZnCoReB, optimized geometry, DFT GGA-PBE
data_ZnCoReB
_space_group_name_H-M_alt 'F -4 3 m'
_space_group_IT_number 216
_space_group_name_Hall 'F -4 2 3'
_cell_length_a 5.640
_cell_length_b 5.640
_cell_length_c 5.640
_cell_angle_alpha 90.00
_cell_angle_beta 90.00
_cell_angle_gamma 90.00
loop_
_atom_site_label
_atom_site_fract_x
_atom_site_fract_y
_atom_site_fract_z
_atom_site_occupancy
Zn1 0.000 0.000 0.000 1
Co1 0.250 0.250 0.750 1
Re1 0.250 0.250 0.250 1
B1 0.000 0.000 0.500 1
# * V: 44.84 Å³/f.u.
# * M_tot: 4.3 μB/cell
# * theoretical density: 11.9 g cm⁻³

Which of them is most stable? Easy: two.

one:
# ZrCoReB, optimized geometry, DFT GGA-PBE
data_ZrCoReB
_space_group_name_H-M_alt 'F -4 3 m'
_space_group_IT_number 216
_space_group_name_Hall 'F -4 2 3'
_cell_length_a 6.103
_cell_length_b 6.103
_cell_length_c 6.103
_cell_angle_alpha 90.00
_cell_angle_beta 90.00
_cell_angle_gamma 90.00
loop_
_atom_site_label
_atom_site_fract_x
_atom_site_fract_y
_atom_site_fract_z
_atom_site_occupancy
Zr1 0.000 0.000 0.000 1
Co1 0.000 0.000 0.500 1
Re1 0.250 0.250 0.750 1
B1 0.250 0.250 0.250 1
# * V: 56.82 Å³/f.u.
# * M_tot: 10.8 μB/cell
# * theoretical density: 10.1 g cm⁻³

two:
# ZrCoReB, optimized geometry, DFT GGA-PBE
data_ZrCoReB
_space_group_name_H-M_alt 'F -4 3 m'
_space_group_IT_number 216
_space_group_name_Hall 'F -4 2 3'
_cell_length_a 5.981
_cell_length_b 5.981
_cell_length_c 5.981
_cell_angle_alpha 90.00
_cell_angle_beta 90.00
_cell_angle_gamma 90.00
loop_
_atom_site_label
_atom_site_fract_x
_atom_site_fract_y
_atom_site_fract_z
_atom_site_occupancy
Zr1 0.000 0.000 0.000 1
Co1 0.250 0.250 0.750 1
Re1 0.250 0.250 0.250 1
B1 0.000 0.000 0.500 1
# * V: 53.48 Å³/f.u.
# * M_tot: 1.8 μB/cell
# * theoretical density: 10.8 g cm⁻³

Which of them is most stable? Easy: two.

one:
# CoB4Sb, optimized geometry, DFT GGA-PBE
data_CoB4Sb
_space_group_name_H-M_alt 'I m m m'
_space_group_IT_number 71
_space_group_name_Hall '-I 2 2'
_cell_length_a 3.069
_cell_length_b 5.346
_cell_length_c 7.378
_cell_angle_alpha 90.00
_cell_angle_beta 90.00
_cell_angle_gamma 90.00
loop_
_atom_site_label
_atom_site_fract_x
_atom_site_fract_y
_atom_site_fract_z
_atom_site_occupancy
Co1 0.000 0.000 0.000 1
B1 0.000 0.335 0.259 1
Sb1 0.000 0.000 0.500 1
# * V: 60.51 Å³/f.u.
# * M_tot: 3.5 μB/cell
# * theoretical density: 6.1 g cm⁻³

two:
# CoB4Sb, optimized geometry, DFT GGA-PBE
data_CoB4Sb
_space_group_name_H-M_alt 'P 6/m m m'
_space_group_IT_number 191
_space_group_name_Hall '-P 6 2'
_cell_length_a 3.0144
_cell_length_b 3.0144
_cell_length_c 8.0106
_cell_angle_alpha 90.00
_cell_angle_beta 90.00
_cell_angle_gamma 120.00
loop_
_atom_site_label
_atom_site_fract_x
_atom_site_fract_y
_atom_site_fract_z
_atom_site_occupancy
Co1 0.0000 0.0000 0.0000 1
B1 0.3333 0.6667 0.1760 1
Sb1 0.0000 0.0000 0.5000 1
# * V: 63.04 Å³/f.u.
# * M_tot: 0.0 μB/cell
# * theoretical density: 5.9 g cm⁻³

Which of them is most stable? Easy: two.

one:
# Sc2Co2B, optimized geometry, DFT GGA-PBE
data_Sc2Co2B
_space_group_name_H-M_alt 'I 4/m m m'
_space_group_IT_number 139
_space_group_name_Hall '-I 4 2'
_cell_length_a 3.132
_cell_length_b 3.132
_cell_length_c 15.036
_cell_angle_alpha 90.00
_cell_angle_beta 90.00
_cell_angle_gamma 90.00
loop_
_atom_site_label
_atom_site_fract_x
_atom_site_fract_y
_atom_site_fract_z
_atom_site_occupancy
Sc1 0.000 0.000 0.098 1
Co1 0.000 0.500 0.250 1
B1 0.000 0.000 0.500 1
# * V: 73.75 Å³/f.u.
# * M_tot: 0.0 μB/cell
# * theoretical density: 4.9 g cm⁻³

two:
# Sc2Co2B, optimized geometry, DFT GGA-PBE
data_Sc2Co2B
_space_group_name_H-M_alt 'I 4/m m m'
_space_group_IT_number 139
_space_group_name_Hall '-I 4 2'
_cell_length_a 4.654
_cell_length_b 4.654
_cell_length_c 6.311
_cell_angle_alpha 90.00
_cell_angle_beta 90.00
_cell_angle_gamma 90.00
loop_
_atom_site_label
_atom_site_fract_x
_atom_site_fract_y
_atom_site_fract_z
_atom_site_occupancy
Sc1 0.000 0.500 0.250 1
Co1 0.000 0.000 0.188 1
B1 0.000 0.000 0.500 1
# * V: 68.34 Å³/f.u.
# * M_tot: 0.0 μB/cell
# * theoretical density: 5.3 g cm⁻³

Which of them is most stable? Easy: two.

one:
# CoSiB4, optimized geometry, DFT GGA-PBE
data_CoSiB4
_space_group_name_H-M_alt 'I m m m'
_space_group_IT_number 71
_space_group_name_Hall '-I 2 2'
_cell_length_a 2.966
_cell_length_b 5.196
_cell_length_c 6.268
_cell_angle_alpha 90.00
_cell_angle_beta 90.00
_cell_angle_gamma 90.00
loop_
_atom_site_label
_atom_site_fract_x
_atom_site_fract_y
_atom_site_fract_z
_atom_site_occupancy
Co1 0.000 0.000 0.000 1
Si1 0.000 0.000 0.500 1
B1 0.000 0.334 0.250 1
# * V: 48.30 Å³/f.u.
# * M_tot: 2.1 μB/cell
# * theoretical density: 4.5 g cm⁻³

two:
# CoSiB4, optimized geometry, DFT GGA-PBE
data_CoSiB4
_space_group_name_H-M_alt 'P 6/m m m'
_space_group_IT_number 191
_space_group_name_Hall '-P 6 2'
_cell_length_a 2.9844
_cell_length_b 2.9844
_cell_length_c 6.2608
_cell_angle_alpha 90.00
_cell_angle_beta 90.00
_cell_angle_gamma 120.00
loop_
_atom_site_label
_atom_site_fract_x
_atom_site_fract_y
_atom_site_fract_z
_atom_site_occupancy
Co1 0.0000 0.0000 0.0000 1
Si1 0.0000 0.0000 0.5000 1
B1 0.3333 0.6667 0.2353 1
# * V: 48.29 Å³/f.u.
# * M_tot: 0.0 μB/cell
# * theoretical density: 4.5 g cm⁻³

Which of them is most stable? Easy: two.